# 1
Material: NdSbRh4
Method: DFT, PBE
State: relaxed

Unit cell a=5.354 b=5.354 c=5.354 alpha=60.00 beta=60.00 gamma=60.00
Element x y z (fractional)
Sb 0.000 0.000 0.000
Rh 0.122 0.626 0.626
Rh 0.626 0.626 0.122
Rh 0.626 0.122 0.626
Rh 0.626 0.626 0.626
Nd 0.250 0.250 0.250

Output
- formation energy without anion corrections (eV per atom) = -0.37
- offset from the most stable computed form (meV/atom) = 0.0
- DOS at the Fermi energy (states/eV per cell) = 3.70
- magnetization (μB per atom) = 0.000



# 2
Material: LaNdAgBr
Method: DFT, PBE
State: relaxed

Unit cell a=5.370 b=5.370 c=5.370 alpha=60.00 beta=60.00 gamma=60.00
Element x y z (fractional)
La 0.500 0.500 0.500
Ag 0.750 0.750 0.750
Nd 0.000 0.000 0.000
Br 0.250 0.250 0.250

Output
- formation energy without anion corrections (eV per atom) = -0.54
- DOS at the Fermi energy (states/eV per cell) = 5.46
- magnetization (μB per atom) = 0.000



# 3
Material: Rb2ZrCdI6
Method: DFT, PBE
State: relaxed

Unit cell a=8.967 b=8.967 c=8.968 alpha=60.00 beta=60.00 gamma=90.00
Element x y z (fractional)
I 0.728 0.272 0.000
I 0.728 0.728 0.000
I 0.272 0.272 0.000
I 0.728 0.728 0.544
I 0.272 0.272 0.456
I 0.272 0.728 0.000
Rb 0.250 0.750 0.500
Rb 0.750 0.250 0.500
Cd 0.000 0.000 0.000
Zr 0.500 0.500 0.000

Output
- formation energy without anion corrections (eV per atom) = -0.94
- DOS at the Fermi energy (states/eV per cell) = 0.00
- magnetization (μB per atom) = 0.000



# 4
Material: SmNiAs
Method: DFT, PBE
State: relaxed

Unit cell a=4.097 b=4.097 c=3.996 alpha=90.00 beta=90.00 gamma=120.00
Element x y z (fractional)
Sm 0.667 0.333 0.000
Ni 0.000 0.000 0.500
As 0.333 0.667 0.500

Output
- ΔH_f (0 K) (meV/atom) = -1043.4
- DOS at the Fermi energy (states/eV per cell) = 1.32
- magnetization (μB per atom) = 0.000



# 5
Material: Sm2Er12Tm5
Method: DFT, PBE
State: relaxed

Unit cell a=9.124 b=12.267 c=8.406 alpha=132.46 beta=90.00 gamma=111.83
Element x y z (fractional)
Er 0.095 0.189 0.306
Er 0.024 0.685 0.930
Er 0.905 0.811 0.694
Er 0.566 0.747 0.400
Er 0.976 0.315 0.070
Er 0.819 0.253 0.600
Er 0.661 0.685 0.930
Er 0.434 0.253 0.600
Er 0.181 0.747 0.400
Er 0.443 0.886 0.215
Er 0.339 0.315 0.070
Er 0.557 0.114 0.785
Sm 0.316 0.000 0.000
Sm 0.684 0.000 0.000
Tm 0.000 0.000 0.500
Tm 0.233 0.466 0.889
Tm 0.697 0.393 0.385
Tm 0.767 0.534 0.111
Tm 0.303 0.607 0.615

Output
- ΔH_f (0 K) (meV/atom) = 133.1
- offset from the most stable computed form (meV/atom) = 108.7
- DOS at the Fermi energy (states/eV per cell) = 27.42
- magnetization (μB per atom) = 0.000



# 6
Material: Ba2TeBr
Method: DFT, PBE
State: relaxed

Unit cell a=4.775 b=4.775 c=9.006 alpha=74.63 beta=74.63 gamma=60.00
Element x y z (fractional)
Br 0.497 0.497 0.508
Ba 0.256 0.256 0.232
Ba 0.078 0.078 0.766
Te 0.669 0.669 0.994

Output
- formation energy without anion corrections (eV per atom) = -1.65
- offset from the most stable computed form (meV/atom) = 49.1
- DOS at the Fermi energy (states/eV per cell) = 2.49
- magnetization (μB per atom) = 0.124



# 7
Material: RbCoPCl2
Method: DFT, PBE
State: relaxed

Unit cell a=6.106 b=6.106 c=6.209 alpha=90.00 beta=90.00 gamma=90.00
Element x y z (fractional)
Co 0.500 0.500 0.500
P 0.000 0.000 0.500
Cl 0.000 0.500 0.000
Cl 0.500 0.000 0.000
Rb 0.000 0.000 0.000

Output
- formation energy without anion corrections (eV per atom) = 1.02
- offset from the most stable computed form (meV/atom) = 1539.6
- DOS at the Fermi energy (states/eV per cell) = 7.64
- magnetization (μB per atom) = 1.127



# 8
Material: HRuSe2
Method: DFT, PBE
State: relaxed

Unit cell a=7.892 b=7.892 c=7.892 alpha=21.52 beta=21.52 gamma=21.52
Element x y z (fractional)
Ru 0.000 0.000 0.000
Se 0.898 0.898 0.898
Se 0.102 0.102 0.102
H 0.500 0.500 0.500

Output
- offset from the most stable computed form (meV/atom) = 766.7
- DOS at the Fermi energy (states/eV per cell) = 3.02
- magnetization (μB per atom) = 0.000



# 9
Material: Nd5Pu3N8
Method: DFT, PBE
State: relaxed

Unit cell a=7.156 b=7.156 c=7.148 alpha=59.96 beta=59.96 gamma=60.00
Element x y z (fractional)
Nd 0.500 0.000 0.000
Nd 0.500 0.500 0.000
Nd 0.000 0.500 0.000
Nd 0.000 0.000 0.000
Nd 0.500 0.500 0.500
Pu 0.000 0.000 0.500
Pu 0.000 0.500 0.500
Pu 0.500 0.000 0.500
N 0.250 0.769 0.730
N 0.769 0.250 0.730
N 0.750 0.231 0.270
N 0.231 0.750 0.270
N 0.250 0.250 0.730
N 0.242 0.242 0.274
N 0.750 0.750 0.270
N 0.758 0.758 0.726

Output
- formation energy without anion corrections (eV per atom) = -1.32
- DOS at the Fermi energy (states/eV per cell) = 21.16
- magnetization (μB per atom) = 0.870



# 10
Material: K4Pr3ZrO8
Method: DFT, PBE
State: relaxed

Unit cell a=7.148 b=7.551 c=7.148 alpha=118.25 beta=120.00 gamma=90.00
Element x y z (fractional)
Pr 0.500 0.500 0.000
Pr 0.000 0.500 0.500
Pr 0.500 0.500 0.500
K 0.000 0.000 0.500
K 0.000 0.000 0.000
K 0.500 0.000 0.000
K 0.500 0.000 0.500
O 0.761 0.686 0.974
O 0.787 0.314 0.026
O 0.787 0.313 0.575
O 0.239 0.314 0.026
O 0.735 0.705 0.470
O 0.265 0.295 0.530
O 0.213 0.686 0.974
O 0.213 0.687 0.425
Zr 0.000 0.500 0.000

Output
- formation energy without anion corrections (eV per atom) = -2.50
- DOS at the Fermi energy (states/eV per cell) = 3.00
- magnetization (μB per atom) = 0.000